[1]
This record from Alexandria describes an optimized crystal structure of Ce5TcHg2. The functional is PBE.

```
data_Ce5TcHg2
_chemical_formula_sum 'Ce10 Tc2 Hg4'
_cell_length_a 8.5136
_cell_length_b 8.5136
_cell_length_c 12.1423
_cell_angle_alpha 90.00
_cell_angle_beta 90.00
_cell_angle_gamma 141.85
_space_group_name_H-M_alt 'P 1'
_space_group_IT_number 1
loop_
_space_group_symop_operation_xyz
'x,y,z'
loop_
_atom_site_label
_atom_site_type_symbol
_atom_site_fract_x
_atom_site_fract_y
_atom_site_fract_z
_atom_site_occupancy
Ce1 Ce 0.0564 0.9436 0.5987 1
Ce2 Ce 0.0564 0.9436 0.9013 1
Ce3 Ce 0.2948 0.7052 0.5730 1
Ce4 Ce 0.2948 0.7052 0.9270 1
Ce5 Ce 0.3162 0.6838 0.2500 1
Ce6 Ce 0.6838 0.3162 0.7500 1
Ce7 Ce 0.7052 0.2948 0.0730 1
Ce8 Ce 0.7052 0.2948 0.4270 1
Ce9 Ce 0.9436 0.0564 0.0987 1
Ce10 Ce 0.9436 0.0564 0.4013 1
Tc1 Tc 0.1737 0.8263 0.7500 1
Tc2 Tc 0.8263 0.1737 0.2500 1
Hg1 Hg 0.1376 0.8624 0.1319 1
Hg2 Hg 0.1376 0.8624 0.3681 1
Hg3 Hg 0.8624 0.1376 0.6319 1
Hg4 Hg 0.8624 0.1376 0.8681 1
```

* calculated volume: 33.974 Å³ per atom
* energy above the most stable polymorph in this dataset: 309 meV/atom
* E_tot: -78.8 eV per cell
* formation energy: 0.15 eV per atom
* total moment: 0.685 μB per atom


[2]
This record from Alexandria describes an optimized crystal structure of Sc2AlTl3S6. The functional is PBE.

```
data_Sc2AlTl3S6
_chemical_formula_sum 'Sc2 Al1 Tl3 S6'
_cell_length_a 6.5004
_cell_length_b 6.5004
_cell_length_c 7.7955
_cell_angle_alpha 98.00
_cell_angle_beta 98.00
_cell_angle_gamma 119.93
_space_group_name_H-M_alt 'P 1'
_space_group_IT_number 1
loop_
_space_group_symop_operation_xyz
'x,y,z'
loop_
_atom_site_label
_atom_site_type_symbol
_atom_site_fract_x
_atom_site_fract_y
_atom_site_fract_z
_atom_site_occupancy
Sc1 Sc 0.1665 0.8335 0.0000 1
Sc2 Sc 0.8335 0.1665 0.0000 1
Al1 Al 0.5000 0.5000 0.0000 1
Tl1 Tl 0.0000 0.0000 0.5000 1
Tl2 Tl 0.3293 0.6707 0.5000 1
Tl3 Tl 0.6707 0.3293 0.5000 1
S1 S 0.1236 0.4395 0.8192 1
S2 S 0.2443 0.2443 0.1861 1
S3 S 0.4395 0.1236 0.8192 1
S4 S 0.5605 0.8764 0.1808 1
S5 S 0.7557 0.7557 0.8139 1
S6 S 0.8764 0.5605 0.1808 1
```

* E_form (uncorrected): -1.157 eV/atom
* calculated volume: 22.852 Å³ per atom
* E_tot: -62.2 eV per cell
* total moment: 0.000 μB per atom